A relaxed structure of PmCoTeO6. Source: Alexandria via LeMat-Bulk, functional PBE with a Hubbard U.

Unit cell a=5.665 b=5.665 c=8.323 alpha=90.00 beta=90.00 gamma=120.00
Sites, in units of the cell vectors:
1 Pm 0.333 0.667 0.250
2 Pm 0.667 0.333 0.750
3 Co 0.000 0.000 0.000
4 Co 0.000 0.000 0.500
5 Te 0.333 0.667 0.750
6 Te 0.667 0.333 0.250
7 O 0.056 0.365 0.622
8 O 0.056 0.690 0.878
9 O 0.310 0.365 0.878
10 O 0.310 0.944 0.622
11 O 0.365 0.056 0.122
12 O 0.365 0.310 0.378
13 O 0.635 0.690 0.622
14 O 0.635 0.944 0.878
15 O 0.690 0.056 0.378
16 O 0.690 0.635 0.122
17 O 0.944 0.310 0.122
18 O 0.944 0.635 0.378

Computed properties:
calculated volume: 231.3 Å³ per cell
crystal system: trigonal
total energy: -6.20 eV/atom
space group: P-31c, No. 163